[1]
# SiTeRh2

An optimized crystal structure of SiTeRh2 (PBE-GGA, Alexandria via LeMat-Bulk).

Summary:
Offset from the most stable computed form = 64 meV/atom
Formation energy (no corrections) = -349.5 meV per atom
Symmetry = No. 99
Electronic total energy = -6.17 eV/atom

a b c (Å): 3.5127 3.5127 5.4005
angles (deg): 90.00 90.00 90.00
With the nearest neighbours (Å) after each atom.
Fractional positions:
Si1 0.0000 0.0000 0.0000  5 Rh 2.38-2.55
Te1 0.5000 0.5000 0.3869  6 Rh 2.65-2.74
Rh1 0.0000 0.0000 0.5590  1 Si 2.38, 4 Te 2.65
Rh2 0.5000 0.5000 0.8938  4 Si 2.55, 2 Te 2.66-2.74


[2]
# ThCdCuHg

An optimized crystal structure of ThCdCuHg (PBE-GGA, Alexandria via LeMat-Bulk).

Summary:
Symmetry = No. 216
Electronic total energy = -3.34 eV/atom

a b c (Å): 5.0422 5.0422 5.0422
angles (deg): 60.00 60.00 60.00
With the nearest neighbours (Å) after each atom.
Fractional positions:
Th1 0.0000 0.0000 0.0000  4 Hg 3.09, 4 Cu 3.09
Cd1 0.5000 0.5000 0.5000  4 Hg 3.09, 4 Cu 3.09
Cu1 0.7500 0.7500 0.7500  4 Th 3.09, 4 Cd 3.09
Hg1 0.2500 0.2500 0.2500  4 Cd 3.09, 4 Th 3.09


[3]
# Ba2SrLa

An optimized crystal structure of Ba2SrLa (PBE-GGA, Alexandria via LeMat-Bulk).

Summary:
Offset from the most stable computed form = 36 meV/atom
Symmetry = No. 123
Electronic total energy = -2.46 eV/atom

a b c (Å): 6.6711 6.6711 4.6575
angles (deg): 90.00 90.00 90.00
With the nearest neighbours (Å) after each atom.
Fractional positions:
Ba1 0.0000 0.5000 0.0000  4 La 4.07, 4 Sr 4.07
Ba2 0.5000 0.0000 0.0000  4 La 4.07, 4 Sr 4.07
Sr1 0.0000 0.0000 0.5000  8 Ba 4.07
La1 0.5000 0.5000 0.5000  8 Ba 4.07


[4]
# Ac3SiPd3

An optimized crystal structure of Ac3SiPd3 (PBE-GGA, Alexandria via LeMat-Bulk).

Summary:
Offset from the most stable computed form = 196 meV/atom
Formation energy (no corrections) = -610.4 meV per atom
Symmetry = No. 176
Electronic total energy = -5.37 eV/atom

a b c (Å): 9.0274 9.0274 6.1426
angles (deg): 90.00 90.00 120.00
With the nearest neighbours (Å) after each atom.
Fractional positions:
Ac1 0.0630 0.3676 0.2500  5 Pd 3.04-3.22
Ac2 0.3046 0.9370 0.2500  5 Pd 3.04-3.22
Ac3 0.3676 0.3046 0.7500  5 Pd 3.04-3.22
Ac4 0.6324 0.6954 0.2500  5 Pd 3.04-3.22
Ac5 0.6954 0.0630 0.7500  5 Pd 3.04-3.22
Ac6 0.9370 0.6324 0.7500  5 Pd 3.04-3.22
Si1 0.3333 0.6667 0.7500  3 Pd 2.43
Si2 0.6667 0.3333 0.2500  3 Pd 2.43
Pd1 0.0786 0.3855 0.7500  1 Si 2.43
Pd2 0.3069 0.9214 0.7500  1 Si 2.43
Pd3 0.3855 0.3069 0.2500  1 Si 2.43
Pd4 0.6145 0.6931 0.7500  1 Si 2.43
Pd5 0.6931 0.0786 0.2500  1 Si 2.43
Pd6 0.9214 0.6145 0.2500  1 Si 2.43